# 1
# TcHNO2 | the Alexandria database | GGA-PBE | relaxed
data_TcHNO2
_cell_length_a 3.751
_cell_length_b 3.751
_cell_length_c 2.633
_cell_angle_alpha 90.00
_cell_angle_beta 90.00
_cell_angle_gamma 90.00
_space_group_name_H-M_alt 'P 4/m m m'
_space_group_IT_number 123
_space_group_name_Hall '-P 4 2'
loop_
_atom_site_label
_atom_site_type_symbol
_atom_site_fract_x
_atom_site_fract_y
_atom_site_fract_z
Tc1 Tc 0.000 0.000 0.000
H1 H 0.500 0.500 0.500
N1 N 0.500 0.500 0.000
O1 O 0.000 0.500 0.500
# Final energy   -5.522 eV per atom

=====

# 2
# Mn5V6Ni | the Alexandria database | GGA-PBE | relaxed
data_Mn5V6Ni
_cell_length_a 4.074
_cell_length_b 5.775
_cell_length_c 12.170
_cell_angle_alpha 90.00
_cell_angle_beta 90.00
_cell_angle_gamma 90.00
_space_group_name_H-M_alt 'I m m m'
_space_group_IT_number 71
_space_group_name_Hall '-I 2 2'
loop_
_atom_site_label
_atom_site_type_symbol
_atom_site_fract_x
_atom_site_fract_y
_atom_site_fract_z
Mn1 Mn 0.000 0.000 0.000
Mn2 Mn 0.000 0.000 0.336
Mn3 Mn 0.000 0.500 0.333
V1 V 0.000 0.248 0.168
V2 V 0.000 0.256 0.500
Ni1 Ni 0.000 0.500 0.000
# Energy of formation   -0.212 eV/atom
# Final energy   -9.074 eV per atom

=====

# 3
# Zn2TcAs | the Alexandria database | GGA-PBE | relaxed
data_Zn2TcAs
_cell_length_a 4.985
_cell_length_b 7.934
_cell_length_c 3.110
_cell_angle_alpha 90.00
_cell_angle_beta 90.00
_cell_angle_gamma 90.00
_space_group_name_H-M_alt 'C m m m'
_space_group_IT_number 65
_space_group_name_Hall '-C 2 2'
loop_
_atom_site_label
_atom_site_type_symbol
_atom_site_fract_x
_atom_site_fract_y
_atom_site_fract_z
Zn1 Zn 0.250 0.250 0.000
Tc1 Tc 0.000 0.000 0.500
As1 As 0.000 0.500 0.500
# Energy of formation   0.152 eV/atom
# Final energy   -4.239 eV per atom

=====

# 4
# Ac2Al4InAu3 | the Alexandria database | GGA-PBE | relaxed
data_Ac2Al4InAu3
_cell_length_a 4.559
_cell_length_b 4.559
_cell_length_c 10.904
_cell_angle_alpha 90.00
_cell_angle_beta 90.00
_cell_angle_gamma 90.00
_space_group_name_H-M_alt 'P -4 m 2'
_space_group_IT_number 115
_space_group_name_Hall 'P -4 -2'
loop_
_atom_site_label
_atom_site_type_symbol
_atom_site_fract_x
_atom_site_fract_y
_atom_site_fract_z
Ac1 Ac 0.000 0.500 0.245
Al1 Al 0.000 0.000 0.000
Al2 Al 0.000 0.500 0.642
Al3 Al 0.500 0.500 0.000
In1 In 0.000 0.000 0.500
Au1 Au 0.000 0.500 0.878
Au2 Au 0.500 0.500 0.500
# Energy of formation   -0.659 eV/atom
# Final energy   -4.235 eV per atom